Record 1
# BaY2NbN4 (PBE, relaxed)
# E: -8.482 eV/atom
# mass density: 5.707 Mg/m³
# M_tot: 0.0 μB per cell
data_BaY2NbN4
_space_group_name_H-M_alt 'C m c m'
_space_group_IT_number 63
_space_group_name_Hall '-C 2c 2'
_cell_length_a 3.5248
_cell_length_b 12.5732
_cell_length_c 12.1881
_cell_angle_alpha 90.00
_cell_angle_beta 90.00
_cell_angle_gamma 90.00
loop_
_atom_site_label
_atom_site_type_symbol
_atom_site_fract_x
_atom_site_fract_y
_atom_site_fract_z
Ba1 Ba 0.0000 0.0903 0.2500
Y1 Y 0.0000 0.3717 0.0354
Nb1 Nb 0.0000 0.1729 0.7500
N1 N 0.0000 0.0000 0.0000
N2 N 0.0000 0.2553 0.6150
N3 N 0.0000 0.4114 0.2500

---

Record 2
# BaNdN (PBE, relaxed)
# E: -5.644 eV/atom
# mass density: 5.520 Mg/m³
# M_tot: 0.0 μB per cell
data_BaNdN
_space_group_name_H-M_alt 'P 3 m 1'
_space_group_IT_number 156
_cell_length_a 3.8285
_cell_length_b 3.8285
_cell_length_c 7.0045
_cell_angle_alpha 90.00
_cell_angle_beta 90.00
_cell_angle_gamma 120.00
loop_
_space_group_symop_operation_xyz
'x,y,z'
'-y,x-y,z'
'-x+y,-x,z'
'-y,-x,z'
'-x+y,y,z'
'x,x-y,z'
loop_
_atom_site_label
_atom_site_type_symbol
_atom_site_fract_x
_atom_site_fract_y
_atom_site_fract_z
Ba1 Ba 0.0000 0.0000 0.0000
Nd1 Nd 0.3333 0.6667 0.5753
N1 N 0.6667 0.3333 0.7072

---

Record 3
# BaNd2N (PBE, relaxed)
# E: -5.471 eV/atom
# mass density: 6.000 Mg/m³
# M_tot: 0.0 μB per cell
data_BaNd2N
_space_group_name_H-M_alt 'R -3 m'
_space_group_IT_number 166
_space_group_name_Hall '-R 3 2"'
_cell_length_a 3.6985
_cell_length_b 3.6985
_cell_length_c 30.8237
_cell_angle_alpha 90.00
_cell_angle_beta 90.00
_cell_angle_gamma 120.00
loop_
_atom_site_label
_atom_site_type_symbol
_atom_site_fract_x
_atom_site_fract_y
_atom_site_fract_z
Ba1 Ba 0.0000 0.0000 0.0000
Nd1 Nd 0.0000 0.0000 0.1225
N1 N 0.0000 0.0000 0.5000

---

Record 4
# BaNdNpN4 (PBE, relaxed)
# E: -8.526 eV/atom
# mass density: 8.046 Mg/m³
# M_tot: 0.0 μB per cell
data_BaNdNpN4
_space_group_name_H-M_alt 'I 4 m m'
_space_group_IT_number 107
_space_group_name_Hall 'I 4 -2'
_cell_length_a 4.2692
_cell_length_b 4.2692
_cell_length_c 13.0127
_cell_angle_alpha 90.00
_cell_angle_beta 90.00
_cell_angle_gamma 90.00
loop_
_atom_site_label
_atom_site_type_symbol
_atom_site_fract_x
_atom_site_fract_y
_atom_site_fract_z
Ba1 Ba 0.0000 0.0000 0.0000
Nd1 Nd 0.0000 0.0000 0.7096
Np1 Np 0.0000 0.0000 0.3515
N1 N 0.0000 0.0000 0.1969
N2 N 0.0000 0.0000 0.5114
N3 N 0.0000 0.5000 0.3354

---

Record 5
# Ba2NdNp3N8 (PBE, relaxed)
# E: -9.154 eV/atom
# mass density: 7.513 Mg/m³
# M_tot: 12.0 μB per cell
data_Ba2NdNp3N8
_space_group_name_H-M_alt 'R 3 m'
_space_group_IT_number 160
_space_group_name_Hall 'R 3 -2"'
_cell_length_a 6.9951
_cell_length_b 6.9951
_cell_length_c 19.4319
_cell_angle_alpha 90.00
_cell_angle_beta 90.00
_cell_angle_gamma 120.00
loop_
_atom_site_label
_atom_site_type_symbol
_atom_site_fract_x
_atom_site_fract_y
_atom_site_fract_z
Ba1 Ba 0.0000 0.0000 0.0000
Ba2 Ba 0.0000 0.0000 0.3592
Nd1 Nd 0.0000 0.0000 0.8203
Np1 Np 0.1681 0.3362 0.1934
N1 N 0.0000 0.0000 0.1423
N2 N 0.0000 0.0000 0.5761
N3 N 0.0498 0.5249 0.1353
N4 N 0.1757 0.3514 0.9099

---

Record 6
# BaNd2OsN4 (PBE, relaxed)
# E: -7.725 eV/atom
# mass density: 7.818 Mg/m³
# M_tot: 0.0 μB per cell
data_BaNd2OsN4
_space_group_name_H-M_alt 'C m c m'
_space_group_IT_number 63
_space_group_name_Hall '-C 2c 2'
_cell_length_a 3.6083
_cell_length_b 12.6432
_cell_length_c 12.5166
_cell_angle_alpha 90.00
_cell_angle_beta 90.00
_cell_angle_gamma 90.00
loop_
_atom_site_label
_atom_site_type_symbol
_atom_site_fract_x
_atom_site_fract_y
_atom_site_fract_z
Ba1 Ba 0.0000 0.0676 0.2500
Nd1 Nd 0.0000 0.3694 0.0415
Os1 Os 0.0000 0.1930 0.7500
N1 N 0.0000 0.0000 0.0000
N2 N 0.0000 0.2562 0.6133
N3 N 0.0000 0.3819 0.2500